The following is a PBE calculation of crystalline TbDySc2 at its relaxed geometry, from Alexandria via LeMat-Bulk.

Results
- crystal system = trigonal
- total moment (μB per atom) = 0.000
- formation enthalpy at 0 K (eV per atom) = 0.056
- E above lowest polymorph (eV/atom) = 0.0122

Cell lengths 3.4233, 3.4233, 32.8557 Å; angles 90.00, 90.00, 120.00 degrees
Fractional positions:
Tb: 0.0000 0.0000 0.0000
Tb: 0.3333 0.6667 0.6667
Tb: 0.6667 0.3333 0.3333
Dy: 0.0000 0.0000 0.5000
Dy: 0.3333 0.6667 0.1667
Dy: 0.6667 0.3333 0.8333
Sc: 0.0000 0.0000 0.2499
Sc: 0.0000 0.0000 0.7501
Sc: 0.3333 0.6667 0.4168
Sc: 0.3333 0.6667 0.9166
Sc: 0.6667 0.3333 0.0834
Sc: 0.6667 0.3333 0.5832

The following is a PBE calculation of crystalline Tb7DySc3 at its relaxed geometry, from Alexandria via LeMat-Bulk.

Results
- crystal system = monoclinic
- total moment (μB per atom) = 0.000
- formation enthalpy at 0 K (eV per atom) = 0.151
- E above lowest polymorph (eV/atom) = 0.0000

Cell lengths 9.6154, 9.6154, 10.9990 Å; angles 90.22, 90.22, 138.94 degrees
Fractional positions:
Tb: 0.0863 0.4118 0.0370
Tb: 0.0892 0.4146 0.4630
Tb: 0.1624 0.3439 0.7498
Tb: 0.2462 0.2462 0.2496
Tb: 0.3439 0.1624 0.7498
Tb: 0.4118 0.0863 0.0370
Tb: 0.4146 0.0892 0.4630
Tb: 0.5854 0.9108 0.5370
Tb: 0.5882 0.9137 0.9630
Tb: 0.6561 0.8376 0.2502
Tb: 0.7538 0.7538 0.7504
Tb: 0.8376 0.6561 0.2502
Tb: 0.9108 0.5854 0.5370
Tb: 0.9137 0.5882 0.9630
Dy: 0.0000 0.0000 0.5000
Dy: 0.5000 0.5000 0.0000
Sc: 0.0000 0.0000 0.0000
Sc: 0.2481 0.7500 0.2501
Sc: 0.2500 0.7519 0.7499
Sc: 0.5000 0.5000 0.5000
Sc: 0.7500 0.2481 0.2501
Sc: 0.7519 0.2500 0.7499

Please write out number 2 again, unchanged.
The following is a PBE calculation of crystalline Tb7DySc3 at its relaxed geometry, from Alexandria via LeMat-Bulk.

Results
- crystal system = monoclinic
- total moment (μB per atom) = 0.000
- formation enthalpy at 0 K (eV per atom) = 0.151
- E above lowest polymorph (eV/atom) = 0.0000

Cell lengths 9.6154, 9.6154, 10.9990 Å; angles 90.22, 90.22, 138.94 degrees
Fractional positions:
Tb: 0.0863 0.4118 0.0370
Tb: 0.0892 0.4146 0.4630
Tb: 0.1624 0.3439 0.7498
Tb: 0.2462 0.2462 0.2496
Tb: 0.3439 0.1624 0.7498
Tb: 0.4118 0.0863 0.0370
Tb: 0.4146 0.0892 0.4630
Tb: 0.5854 0.9108 0.5370
Tb: 0.5882 0.9137 0.9630
Tb: 0.6561 0.8376 0.2502
Tb: 0.7538 0.7538 0.7504
Tb: 0.8376 0.6561 0.2502
Tb: 0.9108 0.5854 0.5370
Tb: 0.9137 0.5882 0.9630
Dy: 0.0000 0.0000 0.5000
Dy: 0.5000 0.5000 0.0000
Sc: 0.0000 0.0000 0.0000
Sc: 0.2481 0.7500 0.2501
Sc: 0.2500 0.7519 0.7499
Sc: 0.5000 0.5000 0.5000
Sc: 0.7500 0.2481 0.2501
Sc: 0.7519 0.2500 0.7499

Question: What is the formula in the second record?
Answer: Tb7DySc3